DFT (PBE) results for a geometry-optimized BaCoCuTe structure.

Cell lengths 5.2380, 5.2380, 5.2380 Å; angles 60.00, 60.00, 60.00 degrees
Fractional coordinates of all 4 atoms:
Ba (0.0000, 0.0000, 0.0000)
Co (0.5000, 0.5000, 0.5000)
Cu (0.7500, 0.7500, 0.7500)
Te (0.2500, 0.2500, 0.2500)

Calculated values
Energy above the most stable polymorph in this dataset, eV/atom: 0.0607

=====

DFT (PBE) results for a geometry-optimized Tm4ZrSn2 structure.

Cell lengths 7.5768, 7.5768, 3.6098 Å; angles 90.00, 90.00, 102.89 degrees
Fractional coordinates of all 7 atoms:
Tm (0.2000, 0.2000, 0.5000)
Tm (0.2086, 0.7914, 0.0000)
Tm (0.7914, 0.2086, 0.0000)
Tm (0.8000, 0.8000, 0.5000)
Zr (0.5000, 0.5000, 0.0000)
Sn (0.0000, 0.5000, 0.5000)
Sn (0.5000, 0.0000, 0.5000)

Calculated values
Total energy, eV per atom: -4.9207